The following is a DFT calculation (GGA+U) of an optimized crystal structure of WINF2.

Cell lengths 4.2962, 4.2962, 4.2272 Å; angles 90.00, 90.00, 90.00 degrees
Last column: nearest neighbours and their distance in Å.
Space group P4/mmm (No. 123)
Asymmetric unit:
W: 0.0000 0.0000 0.0000 (multiplicity 1)  2 N 2.11, 4 F 2.15
I: 0.5000 0.5000 0.5000 (multiplicity 1)  8 F 3.01, 4 N 3.04
N: 0.0000 0.0000 0.5000 (multiplicity 1)  2 W 2.11
F: 0.0000 0.5000 0.0000 (multiplicity 2)  2 W 2.15

Properties
Total magnetic moment (μB/f.u.): 2.2
ΔE to the lowest computed polymorph (meV per atom): 0